First-principles (PBE) data for a geometry-optimized CaHgAs2Pd5 structure, as listed in Alexandria via LeMat-Bulk.

The total energy comes out at -4.59 eV/atom. The value obtained for the size of the total moment is 0.00 μB per formula unit.

It has space group P4/mmm (No. 123), with a = 4.685 Å, b = 4.685 Å, c = 7.646 Å, α = 90.00°, β = 90.00° and γ = 90.00°. Symmetry generates all atoms from Ca at (0.000, 0.000, 0.000), Hg at (0.000, 0.000, 0.500), As at (0.500, 0.500, 0.334), Pd at (0.000, 0.500, 0.240) and Pd at (0.500, 0.500, 0.000).

First-principles (PBE) data for a geometry-optimized La3Nd2Er5 structure, as listed in Alexandria via LeMat-Bulk.

The total energy comes out at -4.54 eV/atom. The value obtained for the size of the total moment is 0.00 μB per formula unit.

It has space group C2/c (No. 15), with a = 10.648 Å, b = 16.644 Å, c = 9.286 Å, α = 90.00°, β = 124.93° and γ = 90.00°. Symmetry generates all atoms from La at (0.000, 0.233, 0.250), La at (0.147, 0.125, 0.049), Nd at (0.148, 0.382, 0.542), Er at (0.000, 0.025, 0.250), Er at (0.000, 0.275, 0.750), Er at (0.000, 0.471, 0.750) and Er at (0.243, 0.387, 0.234).

First-principles (PBE) data for a geometry-optimized MoRuAu2 structure, as listed in Alexandria via LeMat-Bulk.

The total energy comes out at -6.31 eV/atom. The value obtained for the size of the total moment is 0.00 μB per formula unit.

It has space group Pmmm (No. 47), with a = 2.851 Å, b = 4.250 Å, c = 5.360 Å, α = 90.00°, β = 90.00° and γ = 90.00°. Symmetry generates all atoms from Mo at (0.000, 0.000, 0.000), Ru at (0.000, 0.000, 0.500) and Au at (0.500, 0.500, 0.249).

First-principles (PBE) data for a geometry-optimized NdCrSb3 structure, as listed in Alexandria via LeMat-Bulk.

The value obtained for the size of the total moment is 2.32 μB per formula unit. For the uncorrected formation energy, the calculation gives -466 meV/atom.

It has space group Pbcm (No. 57), with a = 13.078 Å, b = 6.268 Å, c = 6.126 Å, α = 90.00°, β = 90.00° and γ = 90.00°. Symmetry generates all atoms from Nd at (0.190, 0.005, 0.250), Cr at (0.406, 0.750, 0.000), Sb at (0.002, 0.750, 0.000), Sb at (0.280, 0.501, 0.250) and Sb at (0.437, 0.101, 0.250).

First-principles (PBE) data for a geometry-optimized Cs8K2Cl structure, as listed in Alexandria via LeMat-Bulk.

The value obtained for the size of the total moment is 0.00 μB per formula unit. For the uncorrected formation energy, the calculation gives -321 meV/atom.

It has space group Cm (No. 8), with a = 13.085 Å, b = 24.912 Å, c = 8.238 Å, α = 90.00°, β = 128.74° and γ = 90.00°. Symmetry generates all atoms from Cs at (0.000, 0.000, 0.000), Cs at (0.001, 0.500, 0.532), Cs at (0.234, 0.101, 0.760), Cs at (0.260, 0.399, 0.289), Cs at (0.496, 0.290, 0.026), K at (0.495, 0.193, 0.524) and Cl at (0.497, 0.500, 0.575).

First-principles (PBE) data for a geometry-optimized Be16FeW2 structure, as listed in Alexandria via LeMat-Bulk.

The total energy comes out at -5.10 eV/atom. The value obtained for the size of the total moment is 0.00 μB per formula unit.

It has space group R3m (No. 160, hexagonal axes), with a = 7.3402 Å, b = 7.3402 Å, c = 10.5275 Å, α = 90.00°, β = 90.00° and γ = 120.00°. Symmetry generates all atoms from Be at (0.0000, 0.0000, 0.1075), Be at (0.0000, 0.2940, 0.0000), Be at (0.9999, 0.4999, 0.5033), Be at (0.0070, 0.5035, 0.1561), Be at (0.1714, 0.3428, 0.1840), Fe at (0.0000, 0.0000, 0.9028), W at (0.0000, 0.0000, 0.3426) and W at (0.0000, 0.0000, 0.6661).

First-principles (PBE) data for a geometry-optimized ZnSiRh2 structure, as listed in Alexandria via LeMat-Bulk.

The value obtained for the size of the total moment is 0.00 μB per formula unit. For the uncorrected formation energy, the calculation gives -515 meV/atom.

It has space group Imm2 (No. 44), with a = 2.902 Å, b = 3.807 Å, c = 10.415 Å, α = 90.00°, β = 90.00° and γ = 90.00°. Symmetry generates all atoms from Zn at (0.000, 0.000, 0.000), Si at (0.000, 0.500, 0.738), Rh at (0.000, 0.000, 0.415) and Rh at (0.000, 0.500, 0.176).

First-principles (PBE) data for a geometry-optimized CaCd2Rh structure, as listed in Alexandria via LeMat-Bulk.

The total energy comes out at -2.99 eV/atom. The value obtained for the size of the total moment is 0.00 μB per formula unit.

It has space group P4/mmm (No. 123), with a = 4.252 Å, b = 4.252 Å, c = 4.590 Å, α = 90.00°, β = 90.00° and γ = 90.00°. Symmetry generates all atoms from Ca at (0.000, 0.000, 0.000), Cd at (0.000, 0.500, 0.500) and Rh at (0.500, 0.500, 0.000).

First-principles (PBE) data for a geometry-optimized LaMn2SnB structure, as listed in Alexandria via LeMat-Bulk.

The total energy comes out at -5.37 eV/atom. The value obtained for the size of the total moment is 7.46 μB per formula unit.

It has space group P4/mmm (No. 123), with a = 4.944 Å, b = 4.944 Å, c = 6.115 Å, α = 90.00°, β = 90.00° and γ = 90.00°. Symmetry generates all atoms from La at (0.000, 0.000, 0.000), Mn at (0.000, 0.500, 0.500), Sn at (0.000, 0.000, 0.500) and B at (0.500, 0.500, 0.000).

First-principles (PBE) data for a geometry-optimized BeAlNi4 structure, as listed in Alexandria via LeMat-Bulk.

The total energy comes out at -5.13 eV/atom. The value obtained for the size of the total moment is 0.00 μB per formula unit.

It has space group C2/m (No. 12), with a = 6.466 Å, b = 3.714 Å, c = 6.411 Å, α = 90.00°, β = 109.40° and γ = 90.00°. Symmetry generates all atoms from Be at (0.000, 0.000, 0.000), Al at (0.000, 0.500, 0.500), Ni at (0.118, 0.000, 0.350) and Ni at (0.133, 0.500, 0.899).

First-principles (PBE) data for a geometry-optimized CdHg structure, as listed in Alexandria via LeMat-Bulk.

The total energy comes out at -0.56 eV/atom. The value obtained for the size of the total moment is 0.00 μB per formula unit.

It has space group Cmme (No. 67), with a = 3.573 Å, b = 5.220 Å, c = 10.700 Å, α = 90.00°, β = 90.00° and γ = 90.00°. Symmetry generates all atoms from Cd at (0.000, 0.250, 0.121) and Hg at (0.000, 0.250, 0.629).

First-principles (PBE) data for a geometry-optimized CsZnP2Se structure, as listed in Alexandria via LeMat-Bulk.

The value obtained for the size of the total moment is 0.00 μB per formula unit. For the uncorrected formation energy, the calculation gives -357 meV/atom.

It has space group Pm (No. 6), with a = 5.051 Å, b = 3.717 Å, c = 9.096 Å, α = 90.00°, β = 90.83° and γ = 90.00°. Symmetry generates all atoms from Cs at (0.000, 0.000, 0.000), Zn at (0.520, 0.000, 0.376), P at (0.492, 0.500, 0.756), P at (0.544, 0.000, 0.630) and Se at (0.505, 0.500, 0.217).

First-principles (PBE) data for a geometry-optimized Th2AsRh6Se structure, as listed in Alexandria via LeMat-Bulk.

The value obtained for the size of the total moment is 0.00 μB per formula unit. For the uncorrected formation energy, the calculation gives -702 meV/atom.

It has space group Pmmn (No. 59, origin choice 2), with a = 5.554 Å, b = 8.517 Å, c = 8.113 Å, α = 90.00°, β = 90.00° and γ = 90.00°. Symmetry generates all atoms from Th at (0.250, 0.005, 0.235), As at (0.250, 0.750, 0.761), Rh at (0.000, 0.250, 0.999), Rh at (0.002, 0.250, 0.493), Rh at (0.250, 0.001, 0.606) and Se at (0.250, 0.250, 0.757).

First-principles (PBE) data for a geometry-optimized La4Pb2I3 structure, as listed in Alexandria via LeMat-Bulk.

The value obtained for the size of the total moment is 0.00 μB per formula unit. For the uncorrected formation energy, the calculation gives -781 meV/atom.

It has space group C2/c (No. 15), with a = 16.822 Å, b = 12.038 Å, c = 6.557 Å, α = 90.00°, β = 97.11° and γ = 90.00°. Symmetry generates all atoms from La at (0.086, 0.153, 0.019), La at (0.192, 0.375, 0.569), Pb at (0.211, 0.357, 0.070), I at (0.000, 0.371, 0.250) and I at (0.111, 0.119, 0.515).

First-principles (PBE) data for a geometry-optimized InAsPb structure, as listed in Alexandria via LeMat-Bulk.

The total energy comes out at -3.66 eV/atom. The value obtained for the size of the total moment is 0.00 μB per formula unit.

It has space group F-43m (No. 216), with a = 7.172 Å, b = 7.172 Å, c = 7.172 Å, α = 90.00°, β = 90.00° and γ = 90.00°. Symmetry generates all atoms from In at (0.000, 0.000, 0.000), As at (0.250, 0.250, 0.250) and Pb at (0.000, 0.000, 0.500).

First-principles (PBE) data for a geometry-optimized RbCuNi2Pt structure, as listed in Alexandria via LeMat-Bulk.

The total energy comes out at -2.27 eV/atom. The value obtained for the size of the total moment is 0.00 μB per formula unit.

It has space group P4/mmm (No. 123), with a = 4.523 Å, b = 4.523 Å, c = 5.286 Å, α = 90.00°, β = 90.00° and γ = 90.00°. Symmetry generates all atoms from Rb at (0.000, 0.000, 0.000), Cu at (0.500, 0.500, 0.500), Ni at (0.000, 0.500, 0.000) and Pt at (0.000, 0.000, 0.500).

First-principles (PBE) data for a geometry-optimized Nd2Ni4Ge3Pt structure, as listed in Alexandria via LeMat-Bulk.

The total energy comes out at -5.91 eV/atom. The value obtained for the size of the total moment is 0.00 μB per formula unit.

It has space group P-4m2 (No. 115), with a = 4.143 Å, b = 4.143 Å, c = 9.926 Å, α = 90.00°, β = 90.00° and γ = 90.00°. Symmetry generates all atoms from Nd at (0.000, 0.500, 0.249), Ni at (0.000, 0.000, 0.500), Ni at (0.000, 0.500, 0.859), Ni at (0.500, 0.500, 0.500), Ge at (0.000, 0.000, 0.000), Ge at (0.000, 0.500, 0.622) and Pt at (0.500, 0.500, 0.000).

First-principles (PBE) data for a geometry-optimized Ac7Rh4Au structure, as listed in Alexandria via LeMat-Bulk.

The total energy comes out at -5.77 eV/atom. The value obtained for the size of the total moment is 0.00 μB per formula unit.

It has space group P-3m1 (No. 164), with a = 4.3190 Å, b = 4.3190 Å, c = 24.8763 Å, α = 90.00°, β = 90.00° and γ = 120.00°. Symmetry generates all atoms from Ac at (0.0000, 0.0000, 0.0000), Ac at (0.0000, 0.0000, 0.2819), Ac at (0.3333, 0.6667, 0.1349), Ac at (0.3333, 0.6667, 0.4146), Rh at (0.3333, 0.6667, 0.6545), Rh at (0.3333, 0.6667, 0.9261) and Au at (0.0000, 0.0000, 0.5000).

First-principles (PBE) data for a geometry-optimized LiCeZn structure, as listed in Alexandria via LeMat-Bulk.

The total energy comes out at -3.12 eV/atom. The value obtained for the size of the total moment is 0.00 μB per formula unit.

It has space group I4/mmm (No. 139), with a = 3.097 Å, b = 3.097 Å, c = 24.141 Å, α = 90.00°, β = 90.00° and γ = 90.00°. Symmetry generates all atoms from Li at (0.000, 0.000, 0.212), Ce at (0.000, 0.000, 0.056) and Zn at (0.000, 0.000, 0.350).

First-principles (PBE) data for a geometry-optimized Cs2SrAu2I6 structure, as listed in Alexandria via LeMat-Bulk.

The value obtained for the size of the total moment is 0.00 μB per formula unit. For the uncorrected formation energy, the calculation gives -1009 meV/atom.

It has space group C2/m (No. 12), with a = 14.891 Å, b = 8.971 Å, c = 9.884 Å, α = 90.00°, β = 122.44° and γ = 90.00°. Symmetry generates all atoms from Cs at (0.229, 0.000, 0.251), Sr at (0.000, 0.000, 0.500), Au at (0.017, 0.500, 0.784), I at (0.043, 0.213, 0.808) and I at (0.248, 0.500, 0.346).